Crystalline Cs5AsS4F2 at its relaxed geometry. Source: Alexandria via LeMat-Bulk, functional PBE.

Computed properties:
- Formation energy from raw total energies: -1.443 eV/atom
- Final energy: -3.874 eV per atom

Cell: 7.895 7.480 9.048 Å, 90.00 90.00 121.85°
Element x y z (fractional)
Cs 0.113 0.398 0.734
Cs 0.113 0.398 0.266
Cs 0.715 0.602 0.734
Cs 0.715 0.602 0.266
Cs 0.319 0.000 0.500
F 0.968 0.583 0.500
F 0.385 0.417 0.500
S 0.581 0.000 0.802
S 0.581 0.000 0.198
S 0.387 0.275 0.000
S 0.112 0.725 0.000
As 0.418 0.000 0.000



Crystalline SrAc6Tl2 at its relaxed geometry. Source: Alexandria via LeMat-Bulk, functional PBE.

Computed properties:
- Energy of formation: -0.150 eV per atom
- Final energy: -3.601 eV per atom

Cell: 4.106 7.406 13.169 Å, 75.90 81.03 73.90°
Element x y z (fractional)
Ac 0.688 0.213 0.412
Ac 0.690 0.492 0.128
Ac 0.312 0.787 0.588
Ac 0.310 0.508 0.872
Ac 0.976 0.713 0.335
Ac 0.024 0.287 0.665
Tl 0.358 0.083 0.201
Tl 0.642 0.917 0.799
Sr 0.000 0.000 0.000



Crystalline TbEr2In at its relaxed geometry. Source: Alexandria via LeMat-Bulk, functional PBE.

Computed properties:
- Energy of formation: 0.082 eV per atom
- Final energy: -4.042 eV per atom
- Energy above the lowest structure with this stoichiometry: 0.3457 eV per atom

Cell: 3.459 3.459 12.009 Å, 81.72 81.72 60.00°
Each line ends with the local moment (μB).
Element x y z (fractional)
Er 0.096 0.096 0.713  0.11
Er 0.904 0.904 0.287  0.11
In 0.500 0.500 0.500  0.00
Tb 0.000 0.000 0.000  0.34



Crystalline CuRe2Au at its relaxed geometry. Source: Alexandria via LeMat-Bulk, functional PBE.

Computed properties:
- Energy of formation: 0.467 eV per atom
- Final energy: -7.600 eV per atom
- Energy above the lowest structure with this stoichiometry: 0.2911 eV per atom

Cell: 5.027 5.027 5.027 Å, 136.33 136.33 63.48°
Element x y z (fractional)
Re 0.000 0.000 0.000
Re 0.500 0.500 0.000
Au 0.250 0.750 0.500
Cu 0.750 0.250 0.500



Crystalline Sr3LiHg4 at its relaxed geometry. Source: Alexandria via LeMat-Bulk, functional PBE.

Computed properties:
- Energy of formation: -0.455 eV per atom
- Final energy: -1.476 eV per atom

Cell: 3.891 3.891 15.372 Å, 90.00 90.00 90.00°
Element x y z (fractional)
Sr 0.500 0.500 0.500
Sr 0.500 0.500 0.767
Sr 0.500 0.500 0.233
Hg 0.000 0.000 0.903
Hg 0.000 0.000 0.634
Hg 0.000 0.000 0.366
Hg 0.000 0.000 0.097
Li 0.500 0.500 0.000



Crystalline SrCo2Pb at its relaxed geometry. Source: Alexandria via LeMat-Bulk, functional PBE.

Computed properties:
- Energy of formation: 0.376 eV per atom
- Final energy: -4.524 eV per atom

Cell: 5.742 5.742 5.742 Å, 144.14 126.75 65.87°
Each line ends with the local moment (μB).
Element x y z (fractional)
Sr 0.240 0.740 0.500  -0.06
Co 0.790 0.290 0.500  1.49
Co 0.934 0.934 0.000  1.63
Pb 0.535 0.535 0.000  -0.01



Crystalline Pm12H5Ir3 at its relaxed geometry. Source: Alexandria via LeMat-Bulk, functional PBE.

Computed properties:
- Final energy: -5.420 eV per atom

Cell: 13.421 13.421 13.421 Å, 109.47 109.47 109.47°
Element x y z (fractional)
Ir 0.375 0.750 0.625
Ir 0.625 0.375 0.750
Ir 0.625 0.250 0.375
Ir 0.250 0.125 0.375
Ir 0.750 0.875 0.625
Ir 0.375 0.625 0.250
Ir 0.875 0.750 0.125
Ir 0.250 0.625 0.875
Ir 0.125 0.875 0.750
Ir 0.125 0.250 0.875
Ir 0.875 0.125 0.250
Ir 0.750 0.375 0.125
Pm 0.812 0.904 0.283
Pm 0.404 0.283 0.312
Pm 0.908 0.096 0.879
Pm 0.879 0.596 0.908
Pm 0.029 0.408 0.812
Pm 0.688 0.217 0.596
Pm 0.188 0.096 0.717
Pm 0.217 0.688 0.096
Pm 0.908 0.812 0.529
Pm 0.471 0.783 0.879
Pm 0.717 0.596 0.188
Pm 0.283 0.404 0.812
Pm 0.217 0.529 0.621
Pm 0.879 0.283 0.471
Pm 0.592 0.971 0.688
Pm 0.783 0.312 0.904
Pm 0.029 0.621 0.717
Pm 0.121 0.717 0.529
Pm 0.971 0.592 0.188
Pm 0.529 0.217 0.121
Pm 0.096 0.188 0.217
Pm 0.688 0.471 0.592
Pm 0.592 0.621 0.404
Pm 0.283 0.879 0.971
Pm 0.971 0.379 0.283
Pm 0.596 0.879 0.408
Pm 0.783 0.471 0.379
Pm 0.621 0.592 0.904
Pm 0.379 0.408 0.096
Pm 0.408 0.379 0.596
Pm 0.092 0.188 0.471
Pm 0.408 0.029 0.312
Pm 0.096 0.908 0.379
Pm 0.379 0.971 0.783
Pm 0.717 0.121 0.029
Pm 0.904 0.812 0.783
Pm 0.471 0.688 0.092
Pm 0.092 0.904 0.121
Pm 0.121 0.404 0.092
Pm 0.812 0.908 0.029
Pm 0.596 0.717 0.688
Pm 0.529 0.312 0.908
Pm 0.312 0.529 0.408
Pm 0.621 0.029 0.217
Pm 0.404 0.121 0.592
Pm 0.188 0.092 0.971
Pm 0.312 0.783 0.404
Pm 0.904 0.092 0.621
H 0.000 0.500 0.500
H 0.375 0.125 0.750
H 0.000 0.500 0.000
H 0.125 0.750 0.375
H 0.000 0.000 0.500
H 0.625 0.875 0.250
H 0.375 0.250 0.125
H 0.250 0.875 0.125
H 0.500 0.500 0.500
H 0.000 0.000 0.000
H 0.750 0.625 0.375
H 0.500 0.000 0.500
H 0.250 0.375 0.625
H 0.500 0.500 0.000
H 0.625 0.750 0.875
H 0.500 0.000 0.000
H 0.750 0.125 0.875
H 0.875 0.625 0.750
H 0.125 0.375 0.250
H 0.875 0.250 0.625



Crystalline MgCoRe at its relaxed geometry. Source: Alexandria via LeMat-Bulk, functional PBE.

Computed properties:
- Energy of formation: 0.207 eV per atom
- Final energy: -6.842 eV per atom
- Energy above the lowest structure with this stoichiometry: 0.1441 eV per atom

Cell: 5.636 2.925 5.769 Å, 75.31 76.12 90.00°
Each line ends with the local moment (μB).
Element x y z (fractional)
Co 0.875 0.812 0.621  0.83
Co 0.170 0.452 0.341  0.83
Re 0.354 0.822 0.600  -0.01
Re 0.691 0.442 0.361  -0.01
Mg 0.522 0.132 0.981  0.00
Mg 0.022 0.132 0.981  0.00



Crystalline KHg2O at its relaxed geometry. Source: Alexandria via LeMat-Bulk, functional PBE.

Computed properties:
- Formation energy from raw total energies: -0.334 eV/atom
- Final energy: -1.999 eV per atom

Cell: 8.490 8.490 6.563 Å, 49.70 49.70 90.00°
Element x y z (fractional)
Hg 0.537 0.125 0.250
Hg 0.375 0.463 0.750
Hg 0.213 0.625 0.250
Hg 0.875 0.787 0.750
O 0.250 0.750 0.500
O 0.500 0.500 0.000
K 0.750 0.250 0.500
K 0.000 0.000 0.000



no.,ρ (g/cm3)
1,3.3
2,8.3
3,8.2
4,17.6
5,7.7
6,7.8
7,8.3
8,10.0
9,7.9